# In3Hg, relaxed, DFT PBE-GGA
data_In3Hg
_symmetry_space_group_name_H-M 'P m -3 n'
_symmetry_Int_Tables_number 223
_symmetry_space_group_name_Hall '-P 4n 2 3'
_cell_length_a 6.022
_cell_length_b 6.022
_cell_length_c 6.022
_cell_angle_alpha 90.00
_cell_angle_beta 90.00
_cell_angle_gamma 90.00
loop_
_atom_site_label
_atom_site_fract_x
_atom_site_fract_y
_atom_site_fract_z
_atom_site_occupancy
In1 0.000 0.250 0.500 1
Hg1 0.000 0.000 0.000 1
# E_form in eV/atom: 0.05
# Total DFT energy (no corrections) in eV/atom: -2.08
# Volume in Å³ per cell: 218.42